#w
# NdErPtRh, relaxed, DFT PBE
data_NdErPtRh
_symmetry_space_group_name_H-M 'P 1'
_symmetry_Int_Tables_number 1
_symmetry_space_group_name_Hall 'P 1'
_cell_length_a 4.415
_cell_length_b 3.830
_cell_length_c 10.647
_cell_angle_alpha 90.00
_cell_angle_beta 90.00
_cell_angle_gamma 90.00
loop_
_atom_site_label
_atom_site_type_symbol
_atom_site_fract_x
_atom_site_fract_y
_atom_site_fract_z
Nd1 Nd 0.000 0.000 0.000
Nd2 Nd 0.000 0.500 0.500
Er1 Er 0.500 0.000 0.282
Er2 Er 0.500 0.500 0.782
Pt1 Pt 0.500 0.000 0.562
Pt2 Pt 0.500 0.500 0.062
Rh1 Rh 0.000 0.000 0.735
Rh2 Rh 0.000 0.500 0.235
# Density = 11.24 Mg/m³



#x
# NdErPtRh, relaxed, DFT PBE
data_NdErPtRh
_symmetry_space_group_name_H-M 'P 1'
_symmetry_Int_Tables_number 1
_symmetry_space_group_name_Hall 'P 1'
_cell_length_a 7.014
_cell_length_b 7.014
_cell_length_c 7.014
_cell_angle_alpha 90.00
_cell_angle_beta 90.00
_cell_angle_gamma 90.00
loop_
_atom_site_label
_atom_site_type_symbol
_atom_site_fract_x
_atom_site_fract_y
_atom_site_fract_z
Nd1 Nd 0.000 0.000 0.000
Nd2 Nd 0.000 0.500 0.500
Nd3 Nd 0.500 0.000 0.500
Nd4 Nd 0.500 0.500 0.000
Er1 Er 0.000 0.000 0.500
Er2 Er 0.000 0.500 0.000
Er3 Er 0.500 0.000 0.000
Er4 Er 0.500 0.500 0.500
Pt1 Pt 0.250 0.250 0.250
Pt2 Pt 0.250 0.750 0.750
Pt3 Pt 0.750 0.250 0.750
Pt4 Pt 0.750 0.750 0.250
Rh1 Rh 0.250 0.250 0.750
Rh2 Rh 0.250 0.750 0.250
Rh3 Rh 0.750 0.250 0.250
Rh4 Rh 0.750 0.750 0.750
# Density = 11.73 Mg/m³



Most stable: #w. Least stable: #x.



#w
# Nd2ErRh, relaxed, DFT PBE
data_Nd2ErRh
_symmetry_space_group_name_H-M 'P 1'
_symmetry_Int_Tables_number 1
_symmetry_space_group_name_Hall 'P 1'
_cell_length_a 6.706
_cell_length_b 6.425
_cell_length_c 11.507
_cell_angle_alpha 90.00
_cell_angle_beta 90.00
_cell_angle_gamma 90.00
loop_
_atom_site_label
_atom_site_type_symbol
_atom_site_fract_x
_atom_site_fract_y
_atom_site_fract_z
Nd1 Nd 0.091 0.244 0.088
Nd2 Nd 0.091 0.256 0.412
Nd3 Nd 0.409 0.744 0.412
Nd4 Nd 0.409 0.756 0.088
Nd5 Nd 0.591 0.244 0.912
Nd6 Nd 0.591 0.256 0.588
Nd7 Nd 0.909 0.744 0.588
Nd8 Nd 0.909 0.756 0.912
Er1 Er 0.073 0.250 0.750
Er2 Er 0.427 0.750 0.750
Er3 Er 0.573 0.250 0.250
Er4 Er 0.927 0.750 0.250
Rh1 Rh 0.250 0.000 0.591
Rh2 Rh 0.250 0.500 0.909
Rh3 Rh 0.750 0.000 0.409
Rh4 Rh 0.750 0.500 0.091
# Density = 7.48 Mg/m³



#x
# Nd2ErRh, relaxed, DFT PBE
data_Nd2ErRh
_symmetry_space_group_name_H-M 'P 1'
_symmetry_Int_Tables_number 1
_symmetry_space_group_name_Hall 'P 1'
_cell_length_a 3.701
_cell_length_b 3.701
_cell_length_c 31.929
_cell_angle_alpha 90.00
_cell_angle_beta 90.00
_cell_angle_gamma 120.00
loop_
_atom_site_label
_atom_site_type_symbol
_atom_site_fract_x
_atom_site_fract_y
_atom_site_fract_z
Nd1 Nd 0.000 0.000 0.109
Nd2 Nd 0.000 0.000 0.891
Nd3 Nd 0.333 0.667 0.558
Nd4 Nd 0.333 0.667 0.776
Nd5 Nd 0.667 0.333 0.224
Nd6 Nd 0.667 0.333 0.442
Er1 Er 0.000 0.000 0.000
Er2 Er 0.333 0.667 0.667
Er3 Er 0.667 0.333 0.333
Rh1 Rh 0.000 0.000 0.500
Rh2 Rh 0.333 0.667 0.167
Rh3 Rh 0.667 0.333 0.833
# Density = 7.35 Mg/m³



#y
# Nd2ErRh, relaxed, DFT PBE
data_Nd2ErRh
_symmetry_space_group_name_H-M 'P 1'
_symmetry_Int_Tables_number 1
_symmetry_space_group_name_Hall 'P 1'
_cell_length_a 7.262
_cell_length_b 9.944
_cell_length_c 6.335
_cell_angle_alpha 90.00
_cell_angle_beta 90.00
_cell_angle_gamma 90.00
loop_
_atom_site_label
_atom_site_type_symbol
_atom_site_fract_x
_atom_site_fract_y
_atom_site_fract_z
Nd1 Nd 0.179 0.065 0.170
Nd2 Nd 0.179 0.435 0.170
Nd3 Nd 0.321 0.565 0.670
Nd4 Nd 0.321 0.935 0.670
Nd5 Nd 0.679 0.065 0.330
Nd6 Nd 0.679 0.435 0.330
Nd7 Nd 0.821 0.565 0.830
Nd8 Nd 0.821 0.935 0.830
Er1 Er 0.038 0.250 0.651
Er2 Er 0.462 0.750 0.151
Er3 Er 0.538 0.250 0.849
Er4 Er 0.962 0.750 0.349
Rh1 Rh 0.122 0.750 0.949
Rh2 Rh 0.378 0.250 0.449
Rh3 Rh 0.622 0.750 0.551
Rh4 Rh 0.878 0.250 0.051
# Density = 8.11 Mg/m³



#z
# Nd2ErRh, relaxed, DFT PBE
data_Nd2ErRh
_symmetry_space_group_name_H-M 'P 1'
_symmetry_Int_Tables_number 1
_symmetry_space_group_name_Hall 'P 1'
_cell_length_a 3.618
_cell_length_b 3.618
_cell_length_c 8.645
_cell_angle_alpha 90.00
_cell_angle_beta 90.00
_cell_angle_gamma 90.00
loop_
_atom_site_label
_atom_site_type_symbol
_atom_site_fract_x
_atom_site_fract_y
_atom_site_fract_z
Nd1 Nd 0.000 0.000 0.193
Nd2 Nd 0.000 0.000 0.807
Er1 Er 0.500 0.500 0.500
Rh1 Rh 0.500 0.500 0.000
# Density = 8.20 Mg/m³



Most stable: #y. Least stable: #x.



#w
# Nd2ErRh3, relaxed, DFT PBE
data_Nd2ErRh3
_symmetry_space_group_name_H-M 'P 1'
_symmetry_Int_Tables_number 1
_symmetry_space_group_name_Hall 'P 1'
_cell_length_a 7.758
_cell_length_b 7.758
_cell_length_c 7.106
_cell_angle_alpha 90.00
_cell_angle_beta 90.00
_cell_angle_gamma 143.19
loop_
_atom_site_label
_atom_site_type_symbol
_atom_site_fract_x
_atom_site_fract_y
_atom_site_fract_z
Nd1 Nd 0.000 0.000 0.000
Nd2 Nd 0.000 0.000 0.500
Nd3 Nd 0.333 0.667 0.000
Nd4 Nd 0.667 0.333 0.000
Er1 Er 0.332 0.668 0.500
Er2 Er 0.668 0.332 0.500
Rh1 Rh 0.170 0.830 0.263
Rh2 Rh 0.170 0.830 0.737
Rh3 Rh 0.500 0.500 0.258
Rh4 Rh 0.500 0.500 0.742
Rh5 Rh 0.830 0.170 0.263
Rh6 Rh 0.830 0.170 0.737
# Density = 9.91 Mg/m³



#x
# Nd2ErRh3, relaxed, DFT PBE
data_Nd2ErRh3
_symmetry_space_group_name_H-M 'P 1'
_symmetry_Int_Tables_number 1
_symmetry_space_group_name_Hall 'P 1'
_cell_length_a 4.228
_cell_length_b 5.696
_cell_length_c 11.646
_cell_angle_alpha 90.00
_cell_angle_beta 90.00
_cell_angle_gamma 90.00
loop_
_atom_site_label
_atom_site_type_symbol
_atom_site_fract_x
_atom_site_fract_y
_atom_site_fract_z
Nd1 Nd 0.000 0.000 0.171
Nd2 Nd 0.000 0.000 0.829
Nd3 Nd 0.500 0.500 0.329
Nd4 Nd 0.500 0.500 0.671
Er1 Er 0.000 0.000 0.500
Er2 Er 0.500 0.500 0.000
Rh1 Rh 0.000 0.500 0.149
Rh2 Rh 0.000 0.500 0.500
Rh3 Rh 0.000 0.500 0.851
Rh4 Rh 0.500 0.000 0.000
Rh5 Rh 0.500 0.000 0.351
Rh6 Rh 0.500 0.000 0.649
# Density = 9.05 Mg/m³



Most stable: #w. Least stable: #x.



#w
# Nd3ErRu, relaxed, DFT PBE
data_Nd3ErRu
_symmetry_space_group_name_H-M 'P 1'
_symmetry_Int_Tables_number 1
_symmetry_space_group_name_Hall 'P 1'
_cell_length_a 5.523
_cell_length_b 5.523
_cell_length_c 5.523
_cell_angle_alpha 90.00
_cell_angle_beta 90.00
_cell_angle_gamma 90.00
loop_
_atom_site_label
_atom_site_type_symbol
_atom_site_fract_x
_atom_site_fract_y
_atom_site_fract_z
Nd1 Nd 0.000 0.000 0.500
Nd2 Nd 0.000 0.500 0.000
Nd3 Nd 0.500 0.000 0.000
Er1 Er 0.500 0.500 0.500
Ru1 Ru 0.000 0.000 0.000
# Density = 6.91 Mg/m³



#x
# Nd3ErRu, relaxed, DFT PBE
data_Nd3ErRu
_symmetry_space_group_name_H-M 'P 1'
_symmetry_Int_Tables_number 1
_symmetry_space_group_name_Hall 'P 1'
_cell_length_a 7.484
_cell_length_b 7.484
_cell_length_c 7.484
_cell_angle_alpha 101.24
_cell_angle_beta 119.34
_cell_angle_gamma 108.37
loop_
_atom_site_label
_atom_site_type_symbol
_atom_site_fract_x
_atom_site_fract_y
_atom_site_fract_z
Nd1 Nd 0.233 0.501 0.231
Nd2 Nd 0.249 0.040 0.289
Nd3 Nd 0.249 0.460 0.709
Nd4 Nd 0.270 0.001 0.769
Nd5 Nd 0.751 0.540 0.291
Nd6 Nd 0.751 0.960 0.711
Er1 Er 0.720 0.999 0.221
Er2 Er 0.778 0.499 0.779
Ru1 Ru 0.247 0.750 0.997
Ru2 Ru 0.753 0.250 0.003
# Density = 7.41 Mg/m³



Most stable: #x. Least stable: #w.



#w
# NdErZnRu, relaxed, DFT PBE
data_NdErZnRu
_symmetry_space_group_name_H-M 'P 1'
_symmetry_Int_Tables_number 1
_symmetry_space_group_name_Hall 'P 1'
_cell_length_a 4.302
_cell_length_b 4.003
_cell_length_c 10.683
_cell_angle_alpha 90.00
_cell_angle_beta 90.00
_cell_angle_gamma 90.00
loop_
_atom_site_label
_atom_site_type_symbol
_atom_site_fract_x
_atom_site_fract_y
_atom_site_fract_z
Nd1 Nd 0.000 0.000 0.000
Nd2 Nd 0.000 0.500 0.500
Er1 Er 0.500 0.000 0.284
Er2 Er 0.500 0.500 0.784
Zn1 Zn 0.500 0.000 0.581
Zn2 Zn 0.500 0.500 0.081
Ru1 Ru 0.000 0.000 0.724
Ru2 Ru 0.000 0.500 0.224
# Density = 8.63 Mg/m³



#x
# NdErZnRu, relaxed, DFT PBE
data_NdErZnRu
_symmetry_space_group_name_H-M 'P 1'
_symmetry_Int_Tables_number 1
_symmetry_space_group_name_Hall 'P 1'
_cell_length_a 7.043
_cell_length_b 7.043
_cell_length_c 7.043
_cell_angle_alpha 90.00
_cell_angle_beta 90.00
_cell_angle_gamma 90.00
loop_
_atom_site_label
_atom_site_type_symbol
_atom_site_fract_x
_atom_site_fract_y
_atom_site_fract_z
Nd1 Nd 0.000 0.000 0.000
Nd2 Nd 0.000 0.500 0.500
Nd3 Nd 0.500 0.000 0.500
Nd4 Nd 0.500 0.500 0.000
Er1 Er 0.000 0.000 0.500
Er2 Er 0.000 0.500 0.000
Er3 Er 0.500 0.000 0.000
Er4 Er 0.500 0.500 0.500
Zn1 Zn 0.250 0.250 0.750
Zn2 Zn 0.250 0.750 0.250
Zn3 Zn 0.750 0.250 0.250
Zn4 Zn 0.750 0.750 0.750
Ru1 Ru 0.250 0.250 0.250
Ru2 Ru 0.250 0.750 0.750
Ru3 Ru 0.750 0.250 0.750
Ru4 Ru 0.750 0.750 0.250
# Density = 9.09 Mg/m³



Most stable: #x. Least stable: #w.



#w
# NdErS, relaxed, DFT PBE
data_NdErS
_symmetry_space_group_name_H-M 'P 1'
_symmetry_Int_Tables_number 1
_symmetry_space_group_name_Hall 'P 1'
_cell_length_a 3.828
_cell_length_b 3.828
_cell_length_c 6.461
_cell_angle_alpha 90.00
_cell_angle_beta 90.00
_cell_angle_gamma 120.00
loop_
_atom_site_label
_atom_site_type_symbol
_atom_site_fract_x
_atom_site_fract_y
_atom_site_fract_z
Nd1 Nd 0.000 0.000 0.000
Er1 Er 0.667 0.333 0.524
S1 S 0.333 0.667 0.279
# Density = 6.96 Mg/m³



#x
# NdErS, relaxed, DFT PBE
data_NdErS
_symmetry_space_group_name_H-M 'P 1'
_symmetry_Int_Tables_number 1
_symmetry_space_group_name_Hall 'P 1'
_cell_length_a 3.724
_cell_length_b 3.724
_cell_length_c 13.404
_cell_angle_alpha 90.00
_cell_angle_beta 90.00
_cell_angle_gamma 120.00
loop_
_atom_site_label
_atom_site_type_symbol
_atom_site_fract_x
_atom_site_fract_y
_atom_site_fract_z
Nd1 Nd 0.000 0.000 0.218
Nd2 Nd 0.000 0.000 0.782
Er1 Er 0.000 0.000 0.500
Er2 Er 0.667 0.333 0.000
S1 S 0.667 0.333 0.371
S2 S 0.667 0.333 0.629
# Density = 7.09 Mg/m³



Most stable: #w. Least stable: #x.